NiIO2: relaxed, PBE+U.

Cell and atoms, written as CIF:
```
data_NiIO2
_cell_length_a 4.406
_cell_length_b 6.162
_cell_length_c 7.231
_cell_angle_alpha 70.09
_cell_angle_beta 115.15
_cell_angle_gamma 98.72
_symmetry_space_group_name_H-M 'P 1'
_symmetry_Int_Tables_number 1
loop_
_symmetry_equiv_pos_as_xyz
'x,y,z'
loop_
_atom_site_label
_atom_site_type_symbol
_atom_site_fract_x
_atom_site_fract_y
_atom_site_fract_z
_atom_site_occupancy
Ni1 Ni 0.747 0.788 0.090 1
Ni2 Ni 0.026 0.253 0.189 1
I1 I 0.123 0.747 0.794 1
I2 I 0.691 0.380 0.388 1
O1 O 0.672 0.088 0.038 1
O2 O 0.199 0.793 0.325 1
O3 O 0.225 0.951 0.416 1
O4 O 0.913 0.576 0.996 1
```

Values from the calculation:
* Fermi-level density of states: 0.061 states/eV/atom
* distance to the lowest polymorph of the same formula: 354 meV per atom
* E_tot: -0.268 Ry/atom